[1]
{"formula": "HfTi2HgC", "functional": "PBE", "state": "relaxed", "lattice": [[4.2574, 0.0000, 0.0000], [0.0000, 4.2574, 0.0000], [0.0000, 0.0000, 4.4770]], "species": ["Hf", "Ti", "Ti", "Hg", "C"], "fractional_positions": [[0.0000, 0.0000, 0.0000], [0.0000, 0.5000, 0.5000], [0.5000, 0.0000, 0.5000], [0.5000, 0.5000, 0.0000], [0.0000, 0.0000, 0.5000]], "formation_enthalpy_0k_kj_per_mol_fu": -230}

=====

[2]
{"formula": "IrC3", "functional": "PBE", "state": "relaxed", "lattice": [[4.1036, 0.0000, 0.0000], [-2.0518, 3.5538, 0.0000], [0.0000, 0.0000, 9.1631]], "species": ["Ir", "Ir", "C", "C", "C", "C", "C", "C"], "fractional_positions": [[0.3333, 0.6667, 0.2500], [0.6667, 0.3333, 0.7500], [0.2149, 0.4298, 0.7500], [0.2149, 0.7851, 0.7500], [0.4298, 0.2149, 0.2500], [0.5702, 0.7851, 0.7500], [0.7851, 0.2149, 0.2500], [0.7851, 0.5702, 0.2500]], "formation_enthalpy_0k_kj_per_mol_fu": 683, "polymorph_energy_mev_per_atom": 1053}

=====

[3]
{"formula": "SrCrIn4", "functional": "PBE", "state": "relaxed", "lattice": [[0.0000, 4.3336, 4.3336], [4.3336, 0.0000, 4.3336], [4.3336, 4.3336, 0.0000]], "species": ["Sr", "Cr", "In", "In", "In", "In"], "fractional_positions": [[0.0000, 0.0000, 0.0000], [0.7500, 0.7500, 0.7500], [0.3754, 0.3754, 0.3754], [0.3754, 0.3754, 0.8737], [0.3754, 0.8737, 0.3754], [0.8737, 0.3754, 0.3754]], "formation_enthalpy_0k_kj_per_mol_fu": 80}

=====

[4]
{"formula": "YHBr", "functional": "PBE", "state": "relaxed", "lattice": [[3.7201, 0.0000, 0.0000], [0.0000, 3.8026, 0.0000], [0.0000, 0.0000, 9.9929]], "species": ["Y", "Y", "H", "H", "Br", "Br"], "fractional_positions": [[0.2500, 0.2500, 0.1255], [0.7500, 0.7500, 0.8745], [0.2500, 0.7500, 0.0072], [0.7500, 0.2500, 0.9928], [0.2500, 0.7500, 0.6653], [0.7500, 0.2500, 0.3347]]}

=====

no.,calculated density (g/cm3),D(E_F) (states/eV/f.u.),DFT total energy (eV/atom)
1,9.962,3.9,-7.53
2,5.673,0.3,-7.36
3,6.109,3.3,-3.57
4,3.990,1.1,-4.88